1) Below is a relaxed CaCdBi3 crystal, with properties calculated at the PBE-GGA level. Values from VASP.

Quantum ESPRESSO input file:
```
&SYSTEM
  ibrav = 0, nat = 5, ntyp = 3
/
ATOMIC_SPECIES
Ca 40.08 Ca.upf
Bi 208.98 Bi.upf
Cd 112.41 Cd.upf
ATOMIC_POSITIONS angstrom
Ca 0.000 0.000 0.000
Bi 2.180 -1.441 -1.313
Bi -0.981 -2.513 1.130
Bi -1.685 -0.402 -2.356
Cd -0.486 -4.356 -2.539
CELL_PARAMETERS angstrom
-3.370 -0.804 -4.712
4.359 -2.883 -2.626
-1.961 -5.025 2.261
```

total magnetic moment	0.00	μB per cell

***

2) Below is a relaxed CaCdBi3 crystal, with properties calculated at the PBE-GGA level. Values from VASP.

Quantum ESPRESSO input file:
```
&SYSTEM
  ibrav = 0, nat = 5, ntyp = 3
/
ATOMIC_SPECIES
Ca 40.08 Ca.upf
Bi 208.98 Bi.upf
Cd 112.41 Cd.upf
ATOMIC_POSITIONS angstrom
Ca -2.009 -1.731 4.160
Bi 0.654 -2.483 1.233
Bi 0.106 1.289 2.538
Bi -2.770 -0.537 0.389
Cd 0.000 0.000 0.000
CELL_PARAMETERS angstrom
-5.540 -1.074 0.777
1.309 -4.966 2.466
0.213 2.577 5.076
```

total magnetic moment	0.00	μB per cell

***

3) Below is a relaxed CaCdBi3 crystal, with properties calculated at the PBE-GGA level. Values from VASP.

Quantum ESPRESSO input file:
```
&SYSTEM
  ibrav = 0, nat = 20, ntyp = 3
/
ATOMIC_SPECIES
Ca 40.08 Ca.upf
Cd 112.41 Cd.upf
Bi 208.98 Bi.upf
ATOMIC_POSITIONS angstrom
Ca 5.035 3.377 9.290
Ca 1.678 3.281 4.252
Ca 5.035 0.048 4.252
Ca 1.678 6.610 9.290
Cd 3.357 1.664 1.670
Cd 0.000 4.993 11.872
Cd 3.357 4.993 11.872
Cd 0.000 1.664 1.670
Bi 0.000 1.664 6.747
Bi 3.357 4.993 6.795
Bi 0.000 4.993 6.795
Bi 3.357 1.664 6.747
Bi 1.678 1.261 12.506
Bi 5.035 5.397 1.036
Bi 1.678 4.590 1.036
Bi 5.035 2.068 12.506
Bi 1.678 3.241 9.903
Bi 5.035 3.417 3.639
Bi 1.678 6.570 3.639
Bi 5.035 0.088 9.903
CELL_PARAMETERS angstrom
6.713 0.000 0.000
0.000 6.658 0.000
0.000 0.000 13.542
```

total magnetic moment	0.00	μB per cell

***

Result of the stability comparison: 1) is the least stable of them.